First-principles (PBE) data for a geometry-optimized LaHo2IrN4 structure, as listed in Alexandria.

Unit cell a=6.1758 b=6.1758 c=11.5881 alpha=90.00 beta=90.00 gamma=147.72
With the nearest neighbours (Å) after each atom.
Positions (direct):
1 La 0.1118 0.8882 0.7500  6 N 2.60-2.66
2 La 0.8882 0.1118 0.2500  6 N 2.60-2.66
3 Ho 0.3699 0.6301 0.5435  6 N 2.29-2.56
4 Ho 0.3699 0.6301 0.9565  6 N 2.29-2.56
5 Ho 0.6301 0.3699 0.0435  6 N 2.29-2.56
6 Ho 0.6301 0.3699 0.4565  6 N 2.29-2.56
7 Ir 0.1483 0.8517 0.2500  4 N 2.04-2.06
8 Ir 0.8517 0.1483 0.7500  4 N 2.04-2.06
9 N 0.0000 0.0000 0.0000  4 Ho 2.36
10 N 0.0000 0.0000 0.5000  4 Ho 2.36
11 N 0.2690 0.7310 0.1248  1 Ir 2.04
12 N 0.2690 0.7310 0.3752  1 Ir 2.04
13 N 0.4472 0.5528 0.7500  2 Ir 2.06
14 N 0.5528 0.4472 0.2500  2 Ir 2.06
15 N 0.7310 0.2690 0.6248  1 Ir 2.04
16 N 0.7310 0.2690 0.8752  1 Ir 2.04

Calculated values
Formation energy without anion corrections (eV/f.u.): -7.82



First-principles (PBE) data for a geometry-optimized LaHoNiIr structure, as listed in Alexandria.

Unit cell a=4.9333 b=4.9333 c=4.9333 alpha=60.00 beta=60.00 gamma=60.00
With the nearest neighbours (Å) after each atom.
Positions (direct):
1 La 0.0000 0.0000 0.0000  4 Ni 3.02, 4 Ir 3.02
2 Ho 0.5000 0.5000 0.5000  4 Ni 3.02, 4 Ir 3.02
3 Ni 0.7500 0.7500 0.7500  4 La 3.02, 4 Ho 3.02
4 Ir 0.2500 0.2500 0.2500  4 La 3.02, 4 Ho 3.02

Calculated values
Calculated formation energy (eV/f.u.): -2.10



First-principles (PBE) data for a geometry-optimized LaHo2IrO8 structure, as listed in Alexandria.

Unit cell a=5.0495 b=6.9445 c=5.0638 alpha=90.00 beta=90.23 gamma=90.00
With the nearest neighbours (Å) after each atom.
Positions (direct):
1 La 0.0000 0.0000 0.0000  6 O 2.27-2.48
2 Ho 0.5000 0.2504 0.5000  6 O 2.18-2.39
3 Ho 0.5000 0.7496 0.5000  6 O 2.18-2.39
4 Ir 0.0000 0.5000 0.0000  6 O 1.93
5 O 0.1889 0.2999 0.1864  1 Ir 1.93
6 O 0.1889 0.7001 0.1864  1 Ir 1.93
7 O 0.2684 0.5000 0.7297  1 Ir 1.93
8 O 0.3163 0.0000 0.6816  2 Ho 2.18, 1 La 2.27
9 O 0.6837 0.0000 0.3184  2 Ho 2.18, 1 La 2.27
10 O 0.7316 0.5000 0.2703  1 Ir 1.93
11 O 0.8111 0.2999 0.8136  1 Ir 1.93
12 O 0.8111 0.7001 0.8136  1 Ir 1.93

Calculated values
Formation energy without anion corrections (eV/f.u.): -28.33



First-principles (PBE) data for a geometry-optimized LaHoIrO6 structure, as listed in Alexandria.

Unit cell a=5.5311 b=5.5311 c=10.1775 alpha=90.00 beta=90.00 gamma=120.00
With the nearest neighbours (Å) after each atom.
Positions (direct):
1 La 0.0000 0.0000 0.0000  6 O 2.45
2 La 0.0000 0.0000 0.5000  6 O 2.45
3 Ho 0.3333 0.6667 0.2500  6 O 2.25
4 Ho 0.6667 0.3333 0.7500  6 O 2.25
5 Ir 0.3333 0.6667 0.7500  6 O 1.96
6 Ir 0.6667 0.3333 0.2500  6 O 1.96
7 O 0.0393 0.3772 0.6405  1 Ir 1.96
8 O 0.0393 0.6620 0.8595  1 Ir 1.96
9 O 0.3380 0.3772 0.8595  1 Ir 1.96
10 O 0.3380 0.9607 0.6405  1 Ir 1.96
11 O 0.3772 0.0393 0.1405  1 Ir 1.96
12 O 0.3772 0.3380 0.3595  1 Ir 1.96
13 O 0.6228 0.6620 0.6405  1 Ir 1.96
14 O 0.6228 0.9607 0.8595  1 Ir 1.96
15 O 0.6620 0.0393 0.3595  1 Ir 1.96
16 O 0.6620 0.6228 0.1405  1 Ir 1.96
17 O 0.9607 0.3380 0.1405  1 Ir 1.96
18 O 0.9607 0.6228 0.3595  1 Ir 1.96

Calculated values
Formation energy without anion corrections (eV/f.u.): -20.05



First-principles (PBE) data for a geometry-optimized La2HoP3Ir12 structure, as listed in Alexandria.

Unit cell a=6.8230 b=6.8230 c=6.8230 alpha=84.40 beta=84.40 gamma=84.40
With the nearest neighbours (Å) after each atom.
Positions (direct):
1 La 0.1261 0.1261 0.1261  3 Ir 2.63
2 La 0.8739 0.8739 0.8739  3 Ir 2.63
3 Ho 0.5000 0.5000 0.5000  6 Ir 2.70
4 P 0.0000 0.5000 0.5000  2 Ir 2.24
5 P 0.5000 0.0000 0.5000  2 Ir 2.24
6 P 0.5000 0.5000 0.0000  2 Ir 2.24
7 Ir 0.1293 0.1293 0.6013  2 P 2.65, 1 Ir 2.68
8 Ir 0.1293 0.6013 0.1293  2 P 2.65, 1 Ir 2.68
9 Ir 0.1672 0.6767 0.6767  1 P 2.24
10 Ir 0.3233 0.3233 0.8328  1 P 2.24
11 Ir 0.3233 0.8328 0.3233  1 P 2.24
12 Ir 0.3987 0.8707 0.8707  2 P 2.65, 1 Ir 2.68
13 Ir 0.6013 0.1293 0.1293  2 P 2.65, 1 Ir 2.68
14 Ir 0.6767 0.1672 0.6767  1 P 2.24
15 Ir 0.6767 0.6767 0.1672  1 P 2.24
16 Ir 0.8328 0.3233 0.3233  1 P 2.24
17 Ir 0.8707 0.3987 0.8707  2 P 2.65, 1 Ir 2.68
18 Ir 0.8707 0.8707 0.3987  2 P 2.65, 1 Ir 2.68

Calculated values
Calculated formation energy (eV/f.u.): -1.35



First-principles (PBE) data for a geometry-optimized LaHoIrPt structure, as listed in Alexandria.

Unit cell a=5.0065 b=5.0065 c=5.0065 alpha=60.00 beta=60.00 gamma=60.00
With the nearest neighbours (Å) after each atom.
Positions (direct):
1 La 0.0000 0.0000 0.0000  4 Ir 3.07, 4 Pt 3.07
2 Ho 0.5000 0.5000 0.5000  4 Ir 3.07, 4 Pt 3.07
3 Ir 0.7500 0.7500 0.7500  4 Ho 3.07, 4 La 3.07
4 Pt 0.2500 0.2500 0.2500  4 La 3.07, 4 Ho 3.07

Calculated values
Calculated formation energy (eV/f.u.): -3.65



First-principles (PBE) data for a geometry-optimized LaHoIrRu structure, as listed in Alexandria.

Unit cell a=4.9350 b=4.9350 c=4.9350 alpha=60.00 beta=60.00 gamma=60.00
With the nearest neighbours (Å) after each atom.
Positions (direct):
1 La 0.0000 0.0000 0.0000  4 Ru 3.02, 4 Ir 3.02
2 Ho 0.5000 0.5000 0.5000  4 Ru 3.02, 4 Ir 3.02
3 Ir 0.2500 0.2500 0.2500  4 La 3.02, 4 Ho 3.02
4 Ru 0.7500 0.7500 0.7500  4 Ho 3.02, 4 La 3.02

Calculated values
Calculated formation energy (eV/f.u.): -1.77



First-principles (PBE) data for a geometry-optimized La2HoSi3Ir4 structure, as listed in Alexandria.

Unit cell a=4.1856 b=4.1856 c=10.9828 alpha=90.00 beta=90.00 gamma=90.00
With the nearest neighbours (Å) after each atom.
Positions (direct):
1 La 0.0000 0.5000 0.2355  8 Ir 3.17-3.33, 4 Si 3.24
2 La 0.5000 0.0000 0.7645  8 Ir 3.17-3.33, 4 Si 3.24
3 Ho 0.0000 0.0000 0.5000  4 Ir 2.74, 4 Si 2.96
4 Si 0.0000 0.5000 0.8835  5 Ir 2.44-2.45
5 Si 0.5000 0.0000 0.1165  5 Ir 2.44-2.45
6 Si 0.5000 0.5000 0.5000  4 Ir 2.74, 4 Ho 2.96
7 Ir 0.0000 0.0000 0.0000  4 Si 2.45
8 Ir 0.0000 0.5000 0.6616  1 Si 2.44
9 Ir 0.5000 0.0000 0.3384  1 Si 2.44
10 Ir 0.5000 0.5000 0.0000  4 Si 2.45

Calculated values
Formation energy without anion corrections (eV/f.u.): -9.64



First-principles (PBE) data for a geometry-optimized LaHoTlIr structure, as listed in Alexandria.

Unit cell a=5.2225 b=5.2225 c=5.2225 alpha=60.00 beta=60.00 gamma=60.00
With the nearest neighbours (Å) after each atom.
Positions (direct):
1 La 0.0000 0.0000 0.0000  4 Tl 3.20, 4 Ir 3.20
2 Ho 0.5000 0.5000 0.5000  4 Tl 3.20, 4 Ir 3.20
3 Tl 0.2500 0.2500 0.2500  4 La 3.20, 4 Ho 3.20
4 Ir 0.7500 0.7500 0.7500  4 La 3.20, 4 Ho 3.20

Calculated values
Calculated formation energy (eV/f.u.): -1.62



First-principles (PBE) data for a geometry-optimized LaHoZnIr structure, as listed in Alexandria.

Unit cell a=5.0512 b=5.0512 c=5.0512 alpha=60.00 beta=60.00 gamma=60.00
With the nearest neighbours (Å) after each atom.
Positions (direct):
1 La 0.0000 0.0000 0.0000  4 Ir 3.09, 4 Zn 3.09
2 Ho 0.5000 0.5000 0.5000  4 Ir 3.09, 4 Zn 3.09
3 Zn 0.2500 0.2500 0.2500  4 La 3.09, 4 Ho 3.09
4 Ir 0.7500 0.7500 0.7500  4 La 3.09, 4 Ho 3.09

Calculated values
Calculated formation energy (eV/f.u.): -2.16



First-principles (PBE) data for a geometry-optimized LiHoIr structure, as listed in Alexandria.

Unit cell a=10.0724 b=10.0724 c=3.0524 alpha=90.00 beta=90.00 gamma=156.12
With the nearest neighbours (Å) after each atom.
Positions (direct):
1 Li 0.0661 0.9339 0.7500  4 Ir 2.59
2 Li 0.9339 0.0661 0.2500  4 Ir 2.59
3 Ho 0.3146 0.6854 0.7500  1 Ir 2.60
4 Ho 0.6854 0.3146 0.2500  1 Ir 2.60
5 Ir 0.4463 0.5537 0.7500  4 Li 2.59, 1 Ho 2.60, 2 Ir 2.61
6 Ir 0.5537 0.4463 0.2500  4 Li 2.59, 1 Ho 2.60, 2 Ir 2.61

Calculated values
Distance to the lowest polymorph of the same formula (meV/atom): 547.7
Calculated formation energy (eV/f.u.): 0.32



First-principles (PBE) data for a geometry-optimized LiHoIr structure, as listed in Alexandria.

Unit cell a=5.1600 b=5.1600 c=5.1600 alpha=140.51 beta=140.51 gamma=57.08
With the nearest neighbours (Å) after each atom.
Positions (direct):
1 Li 0.0000 0.0000 0.0000  1 Ho 2.70, 4 Ir 2.75
2 Ho 0.7022 0.7022 0.0000  1 Li 2.70, 4 Ir 2.88
3 Ir 0.3656 0.3656 0.0000  4 Li 2.75, 5 Ho 2.88-3.05

Calculated values
Distance to the lowest polymorph of the same formula (meV/atom): 77.2
Calculated formation energy (eV/f.u.): -1.09



Please write out number 6 again, unchanged.
First-principles (PBE) data for a geometry-optimized LaHoIrPt structure, as listed in Alexandria.

Unit cell a=5.0065 b=5.0065 c=5.0065 alpha=60.00 beta=60.00 gamma=60.00
With the nearest neighbours (Å) after each atom.
Positions (direct):
1 La 0.0000 0.0000 0.0000  4 Ir 3.07, 4 Pt 3.07
2 Ho 0.5000 0.5000 0.5000  4 Ir 3.07, 4 Pt 3.07
3 Ir 0.7500 0.7500 0.7500  4 Ho 3.07, 4 La 3.07
4 Pt 0.2500 0.2500 0.2500  4 La 3.07, 4 Ho 3.07

Calculated values
Calculated formation energy (eV/f.u.): -3.65